This record from the Alexandria database describes ReOs2Pb at its PBEsol-relaxed geometry. The functional is meta-GGA SCAN.

Cell lengths 4.6773, 4.6773, 2.9554 Å; angles 90.00, 90.00, 90.00 degrees
Space group P4/mmm (No. 123)
Unique sites:
Re  0.0000  0.0000  0.0000 x1
Os  0.0000  0.5000  0.5000 x2
Pb  0.5000  0.5000  0.0000 x1

***

This record from the Alexandria database describes Re2OsPb at its PBEsol-relaxed geometry. The functional is meta-GGA SCAN.

Cell lengths 2.8631, 3.8733, 6.0351 Å; angles 90.00, 90.00, 90.00 degrees
Space group Pmm2 (No. 25)
Unique sites:
Re  0.0000  0.0000  0.0000 x1
Re  0.5000  0.5000  0.1867 x1
Os  0.0000  0.0000  0.4228 x1
Pb  0.5000  0.5000  0.6933 x1

***

This record from the Alexandria database describes ReOs2Pb at its PBEsol-relaxed geometry. The functional is meta-GGA SCAN.

Cell lengths 2.9718, 4.6279, 4.6854 Å; angles 90.00, 90.00, 90.00 degrees
Space group Pmmm (No. 47)
Unique sites:
Re  0.0000  0.0000  0.0000 x1
Os  0.0000  0.5000  0.5000 x1
Os  0.5000  0.5000  0.0000 x1
Pb  0.5000  0.0000  0.5000 x1

***

This record from the Alexandria database describes Re2OsPb at its PBEsol-relaxed geometry. The functional is meta-GGA SCAN.

Cell lengths 3.0727, 4.6317, 9.0608 Å; angles 90.00, 90.00, 90.00 degrees
Space group Imm2 (No. 44)
Unique sites:
Re  0.0000  0.0000  0.0000 x2
Re  0.0000  0.5000  0.2542 x2
Os  0.0000  0.5000  0.7576 x2
Pb  0.0000  0.0000  0.5039 x2

***

Formation energy from the elements (computed, eV per formula unit): 4.6; 3.4; 4.8; 4.5
N(E_F) (computed, states/eV per atom): 1.020; 0.880; 0.903; 0.875